Entry 1:
Al2FeNiH | PBE-GGA | optimized geometry

Cell lengths 4.0186, 3.1366, 4.0186 Å; angles 90.00, 90.00, 90.00 degrees
Element x y z (fractional)
Ni  0.5000  0.5000  0.5000
Fe  0.0000  0.5000  0.0000
H  0.0000  0.0000  0.0000
Al  0.0000  0.0000  0.5000
Al  0.5000  0.0000  0.0000

Size of the total moment   0.00 Bohr magnetons per cell
Density of states at the Fermi level   2.81 states/eV/cell
E_tot   -5.30 eV per atom

***

Entry 2:
AlFeNi2H | PBE-GGA | optimized geometry

Cell lengths 3.5528, 3.5528, 3.8885 Å; angles 90.00, 90.00, 90.00 degrees
Last column: magnetic moment on the atom in μB.
Element x y z (fractional)
Ni  0.0000  0.5000  0.0000  0.24
Ni  0.5000  0.0000  0.0000  0.24
Fe  0.5000  0.5000  0.5000  2.35
H  0.0000  0.0000  0.0000  0.00
Al  0.0000  0.0000  0.5000  -0.05

Size of the total moment   2.65 Bohr magnetons per cell
Density of states at the Fermi level   1.89 states/eV/cell
Energy above the most stable polymorph in this dataset   135 meV per atom
E_tot   -5.56 eV per atom